Here is a relaxed structure of MgIr2W from the Alexandria database. Energies are from PBEsol.

a b c (Å): 2.8164 3.6411 5.8095
angles (deg): 90.00 90.00 90.00
Closest atoms and distances in Å follow each position.
Positions (direct):
1 Ir 0.0000 0.0000 0.7432  4 W 2.70, 4 Mg 2.74, 4 Ir 2.82-2.98
2 Ir 0.0000 0.0000 0.2568  4 W 2.70, 4 Mg 2.74, 4 Ir 2.82-2.98
3 W 0.5000 0.5000 0.5000  8 Ir 2.70, 2 W 2.82, 2 Mg 2.90
4 Mg 0.5000 0.5000 0.0000  8 Ir 2.74, 2 Mg 2.82, 2 W 2.90

Computed properties:
Crystal system: orthorhombic
ΔE_f, meV per atom: -227
Density of states at the Fermi level, states/eV per cell: 2.0
Calculated density, g/cm³: 16.517
Energy, eV per formula unit: -36.08

Here is a relaxed structure of MgIr2W from the Alexandria database. Energies are from PBEsol.

a b c (Å): 2.8587 2.8587 7.2966
angles (deg): 90.00 90.00 90.00
Closest atoms and distances in Å follow each position.
Positions (direct):
1 Mg 0.5000 0.5000 0.0000  8 Ir 2.76, 4 Mg 2.86
2 Ir 0.0000 0.0000 0.2581  4 W 2.68, 4 Mg 2.76, 4 Ir 2.86
3 Ir 0.0000 0.0000 0.7419  4 W 2.68, 4 Mg 2.76, 4 Ir 2.86
4 W 0.5000 0.5000 0.5000  8 Ir 2.68, 4 W 2.86

Computed properties:
Crystal system: tetragonal
ΔE_f, meV per atom: -338
Density of states at the Fermi level, states/eV per cell: 1.5
Calculated density, g/cm³: 16.502
Energy, eV per formula unit: -36.53

Copy entry 2 word for word.
Here is a relaxed structure of MgIr2W from the Alexandria database. Energies are from PBEsol.

a b c (Å): 2.8587 2.8587 7.2966
angles (deg): 90.00 90.00 90.00
Closest atoms and distances in Å follow each position.
Positions (direct):
1 Mg 0.5000 0.5000 0.0000  8 Ir 2.76, 4 Mg 2.86
2 Ir 0.0000 0.0000 0.2581  4 W 2.68, 4 Mg 2.76, 4 Ir 2.86
3 Ir 0.0000 0.0000 0.7419  4 W 2.68, 4 Mg 2.76, 4 Ir 2.86
4 W 0.5000 0.5000 0.5000  8 Ir 2.68, 4 W 2.86

Computed properties:
Crystal system: tetragonal
ΔE_f, meV per atom: -338
Density of states at the Fermi level, states/eV per cell: 1.5
Calculated density, g/cm³: 16.502
Energy, eV per formula unit: -36.53

Which of these has the highest density of states at the Fermi level? number 1

Among the records above, which one has the highest calculated density? number 1

Look up the ΔE_f of the second one. -338 meV per atom